Entry 1:
Computed, not measured: a geometry-optimized SmZnGa4Ni2 structure at the PBE level of DFT.

Lattice parameters (Å, degrees): 9.189 9.189 9.189 26.15 26.15 26.15
Fractional coordinates of all 8 atoms:
Sm: 0.000 0.000 0.000
Zn: 0.500 0.500 0.500
Ga: 0.123 0.123 0.123
Ga: 0.401 0.401 0.401
Ga: 0.599 0.599 0.599
Ga: 0.877 0.877 0.877
Ni: 0.230 0.230 0.230
Ni: 0.770 0.770 0.770

Energy of formation   -349 meV per atom
Crystal system   trigonal



Entry 2:
Computed, not measured: a geometry-optimized SmZnGa2Ni5 structure at the PBE level of DFT.

Lattice parameters (Å, degrees): 3.850 3.850 9.098 90.00 90.00 90.00
Fractional coordinates of all 9 atoms:
Sm: 0.000 0.000 0.000
Zn: 0.000 0.000 0.500
Ga: 0.500 0.500 0.367
Ga: 0.500 0.500 0.633
Ni: 0.000 0.500 0.221
Ni: 0.000 0.500 0.779
Ni: 0.500 0.000 0.221
Ni: 0.500 0.000 0.779
Ni: 0.500 0.500 0.000

Energy of formation   -69 meV per atom
Crystal system   tetragonal



Entry 3:
Computed, not measured: a geometry-optimized Sm2Zn2GaNi5 structure at the PBE level of DFT.

Lattice parameters (Å, degrees): 9.472 9.472 3.493 90.00 90.00 90.00
Fractional coordinates of all 20 atoms:
Sm: 0.178 0.322 0.000
Sm: 0.322 0.822 0.000
Sm: 0.678 0.178 0.000
Sm: 0.822 0.678 0.000
Zn: 0.120 0.620 0.000
Zn: 0.380 0.120 0.000
Zn: 0.620 0.880 0.000
Zn: 0.880 0.380 0.000
Ga: 0.000 0.000 0.000
Ga: 0.500 0.500 0.000
Ni: 0.000 0.500 0.500
Ni: 0.055 0.801 0.500
Ni: 0.199 0.055 0.500
Ni: 0.301 0.555 0.500
Ni: 0.445 0.301 0.500
Ni: 0.500 0.000 0.500
Ni: 0.555 0.699 0.500
Ni: 0.699 0.445 0.500
Ni: 0.801 0.945 0.500
Ni: 0.945 0.199 0.500

Energy of formation   -251 meV per atom
Crystal system   tetragonal



Entry 4:
Computed, not measured: a geometry-optimized SmZnGa2Ni4 structure at the PBE level of DFT.

Lattice parameters (Å, degrees): 8.662 8.662 8.662 27.13 27.13 27.13
Fractional coordinates of all 8 atoms:
Sm: 0.000 0.000 0.000
Zn: 0.500 0.500 0.500
Ga: 0.239 0.239 0.239
Ga: 0.761 0.761 0.761
Ni: 0.132 0.132 0.132
Ni: 0.405 0.405 0.405
Ni: 0.595 0.595 0.595
Ni: 0.868 0.868 0.868

Energy of formation   -390 meV per atom
Crystal system   trigonal



Entry 5:
Computed, not measured: a geometry-optimized SmZn2GaNi structure at the PBE level of DFT.

Lattice parameters (Å, degrees): 6.100 6.100 6.100 141.58 140.10 56.59
Fractional coordinates of all 5 atoms:
Sm: 0.000 0.000 0.000
Zn: 0.610 0.610 0.000
Zn: 0.763 0.263 0.500
Ga: 0.260 0.760 0.500
Ni: 0.388 0.388 0.000

Energy of formation   -404 meV per atom
Crystal system   orthorhombic



Entry 6:
Computed, not measured: a geometry-optimized Sm2Zn3GaNi12 structure at the PBE level of DFT.

Lattice parameters (Å, degrees): 9.295 9.295 9.295 37.76 37.76 37.76
Fractional coordinates of all 18 atoms:
Sm: 0.151 0.151 0.151
Sm: 0.849 0.849 0.849
Zn: 0.000 0.500 0.500
Zn: 0.500 0.000 0.500
Zn: 0.500 0.500 0.000
Ga: 0.500 0.500 0.500
Ni: 0.079 0.079 0.690
Ni: 0.079 0.690 0.079
Ni: 0.143 0.574 0.574
Ni: 0.310 0.921 0.921
Ni: 0.426 0.426 0.857
Ni: 0.426 0.857 0.426
Ni: 0.574 0.143 0.574
Ni: 0.574 0.574 0.143
Ni: 0.690 0.079 0.079
Ni: 0.857 0.426 0.426
Ni: 0.921 0.310 0.921
Ni: 0.921 0.921 0.310

Energy of formation   51 meV per atom
Crystal system   trigonal



Entry 7:
Computed, not measured: a geometry-optimized Sm3Zn2GaNi9 structure at the PBE level of DFT.

Lattice parameters (Å, degrees): 5.207 5.207 11.269 90.00 90.00 120.00
Fractional coordinates of all 15 atoms:
Sm: 0.000 0.000 0.000
Sm: 0.333 0.667 0.756
Sm: 0.667 0.333 0.244
Zn: 0.333 0.667 0.169
Zn: 0.667 0.333 0.831
Ga: 0.000 0.000 0.500
Ni: 0.000 0.500 0.000
Ni: 0.174 0.348 0.344
Ni: 0.174 0.826 0.344
Ni: 0.348 0.174 0.656
Ni: 0.500 0.000 0.000
Ni: 0.500 0.500 0.000
Ni: 0.652 0.826 0.344
Ni: 0.826 0.174 0.656
Ni: 0.826 0.652 0.656

Energy of formation   -96 meV per atom
Crystal system   trigonal



Entry 8:
Computed, not measured: a geometry-optimized GaNi2Sn structure at the PBE level of DFT.

Lattice parameters (Å, degrees): 4.269 4.269 3.150 90.00 90.00 90.00
Fractional coordinates of all 4 atoms:
Ga: 0.000 0.000 0.000
Ni: 0.000 0.500 0.500
Ni: 0.500 0.000 0.500
Sn: 0.500 0.500 0.000

Energy of formation   -140 meV per atom
Offset from the most stable computed form   0.0341 eV per atom
Crystal system   tetragonal